(1)
VASP calculation (GGA-PBE) on Th2Be2Ir3 after structural relaxation.

Geometry as CIF:
```
data_Th2Be2Ir3
_cell_length_a 3.9697
_cell_length_b 18.5564
_cell_length_c 6.9925
_cell_angle_alpha 90.00
_cell_angle_beta 90.00
_cell_angle_gamma 90.00
_symmetry_space_group_name_H-M 'C m c m'
_symmetry_Int_Tables_number 63
_symmetry_space_group_name_Hall '-C 2c 2'
loop_
_atom_site_label
_atom_site_type_symbol
_atom_site_fract_x
_atom_site_fract_y
_atom_site_fract_z
Th1 Th 0.0000 0.0646 0.2500
Th2 Th 0.0000 0.1619 0.7500
Be1 Be 0.0000 0.3129 0.5751
Ir1 Ir 0.0000 0.2222 0.2500
Ir2 Ir 0.0000 0.4306 0.0539
```

Calculated values
- formation enthalpy at 0 K (eV per atom) = -0.664
- crystal system = orthorhombic
- E (eV per atom) = -7.6459
- total moment (μB per formula unit) = 0.00


(2)
VASP calculation (GGA-PBE) on ThBe2Ir3 after structural relaxation.

Geometry as CIF:
```
data_ThBe2Ir3
_cell_length_a 5.5002
_cell_length_b 5.5002
_cell_length_c 3.4506
_cell_angle_alpha 90.00
_cell_angle_beta 90.00
_cell_angle_gamma 120.00
_symmetry_space_group_name_H-M 'P 6/m m m'
_symmetry_Int_Tables_number 191
_symmetry_space_group_name_Hall '-P 6 2'
loop_
_atom_site_label
_atom_site_type_symbol
_atom_site_fract_x
_atom_site_fract_y
_atom_site_fract_z
Th1 Th 0.0000 0.0000 0.0000
Be1 Be 0.3333 0.6667 0.0000
Ir1 Ir 0.0000 0.5000 0.5000
```

Calculated values
- formation enthalpy at 0 K (eV per atom) = -0.772
- crystal system = hexagonal
- E (eV per atom) = -7.6808
- total moment (μB per formula unit) = 0.00


(3)
VASP calculation (GGA-PBE) on Th2Be4Ir5 after structural relaxation.

Geometry as CIF:
```
data_Th2Be4Ir5
_cell_length_a 5.6710
_cell_length_b 9.5489
_cell_length_c 12.6322
_cell_angle_alpha 90.00
_cell_angle_beta 90.00
_cell_angle_gamma 90.00
_symmetry_space_group_name_H-M 'F m m m'
_symmetry_Int_Tables_number 69
_symmetry_space_group_name_Hall '-F 2 2'
loop_
_atom_site_label
_atom_site_type_symbol
_atom_site_fract_x
_atom_site_fract_y
_atom_site_fract_z
Th1 Th 0.0000 0.0000 0.1350
Be1 Be 0.0000 0.1557 0.3690
Ir1 Ir 0.0000 0.0000 0.5000
Ir2 Ir 0.2500 0.2500 0.0000
Ir3 Ir 0.2500 0.2500 0.2500
```

Calculated values
- formation enthalpy at 0 K (eV per atom) = -0.729
- crystal system = orthorhombic
- E (eV per atom) = -7.4604
- total moment (μB per formula unit) = 0.00


(4)
VASP calculation (GGA-PBE) on Th2Be2Ir5 after structural relaxation.

Geometry as CIF:
```
data_Th2Be2Ir5
_cell_length_a 4.2265
_cell_length_b 4.2265
_cell_length_c 8.4971
_cell_angle_alpha 90.00
_cell_angle_beta 90.00
_cell_angle_gamma 90.00
_symmetry_space_group_name_H-M 'P 4/m m m'
_symmetry_Int_Tables_number 123
_symmetry_space_group_name_Hall '-P 4 2'
loop_
_atom_site_label
_atom_site_type_symbol
_atom_site_fract_x
_atom_site_fract_y
_atom_site_fract_z
Th1 Th 0.0000 0.0000 0.0000
Th2 Th 0.0000 0.0000 0.5000
Be1 Be 0.5000 0.5000 0.1583
Ir1 Ir 0.0000 0.5000 0.2522
Ir2 Ir 0.5000 0.5000 0.5000
```

Calculated values
- formation enthalpy at 0 K (eV per atom) = -0.698
- crystal system = tetragonal
- E (eV per atom) = -8.0978
- total moment (μB per formula unit) = 0.00


(5)
VASP calculation (GGA-PBE) on ThBe17Ir after structural relaxation.

Geometry as CIF:
```
data_ThBe17Ir
_cell_length_a 7.6552
_cell_length_b 7.6552
_cell_length_c 11.0317
_cell_angle_alpha 90.00
_cell_angle_beta 90.00
_cell_angle_gamma 120.00
_symmetry_space_group_name_H-M 'R 3 m'
_symmetry_Int_Tables_number 160
_symmetry_space_group_name_Hall 'R 3 -2"'
loop_
_atom_site_label
_atom_site_type_symbol
_atom_site_fract_x
_atom_site_fract_y
_atom_site_fract_z
Th1 Th 0.0000 0.0000 0.0000
Be1 Be 0.0000 0.0000 0.5526
Be2 Be 0.0000 0.0000 0.7443
Be3 Be 0.0500 0.3716 0.3167
Be4 Be 0.1688 0.3376 0.8314
Be5 Be 0.1722 0.3444 0.4875
Be6 Be 0.1818 0.3635 0.1345
Ir1 Ir 0.0000 0.0000 0.3331
```

Calculated values
- formation enthalpy at 0 K (eV per atom) = -0.032
- crystal system = trigonal
- E (eV per atom) = -4.2229
- total moment (μB per formula unit) = 0.00


(6)
VASP calculation (GGA-PBE) on Th3Be2Ir5 after structural relaxation.

Geometry as CIF:
```
data_Th3Be2Ir5
_cell_length_a 9.9304
_cell_length_b 9.9304
_cell_length_c 3.6639
_cell_angle_alpha 90.00
_cell_angle_beta 90.00
_cell_angle_gamma 90.00
_symmetry_space_group_name_H-M 'P 4/m b m'
_symmetry_Int_Tables_number 127
_symmetry_space_group_name_Hall '-P 4 2ab'
loop_
_atom_site_label
_atom_site_type_symbol
_atom_site_fract_x
_atom_site_fract_y
_atom_site_fract_z
Th1 Th 0.0000 0.0000 0.0000
Th2 Th 0.1744 0.3256 0.0000
Be1 Be 0.1170 0.6170 0.0000
Ir1 Ir 0.0000 0.5000 0.5000
Ir2 Ir 0.0713 0.7738 0.5000
```

Calculated values
- formation enthalpy at 0 K (eV per atom) = -0.787
- crystal system = tetragonal
- E (eV per atom) = -8.1892
- total moment (μB per formula unit) = 0.00


(7)
VASP calculation (GGA-PBE) on TmTh2Be3Ir4 after structural relaxation.

Geometry as CIF:
```
data_TmTh2Be3Ir4
_cell_length_a 4.1029
_cell_length_b 4.1029
_cell_length_c 10.5297
_cell_angle_alpha 90.00
_cell_angle_beta 90.00
_cell_angle_gamma 90.00
_symmetry_space_group_name_H-M 'P -4 m 2'
_symmetry_Int_Tables_number 115
loop_
_symmetry_equiv_pos_as_xyz
'x,y,z'
'y,-x,-z'
'-x,-y,z'
'-y,x,-z'
'-x,y,z'
'-y,-x,-z'
'x,-y,z'
'y,x,-z'
loop_
_atom_site_label
_atom_site_type_symbol
_atom_site_fract_x
_atom_site_fract_y
_atom_site_fract_z
Tm1 Tm 0.0000 0.0000 0.0000
Th1 Th 0.0000 0.5000 0.7178
Be1 Be 0.0000 0.5000 0.3993
Be2 Be 0.5000 0.5000 0.0000
Ir1 Ir 0.0000 0.0000 0.5000
Ir2 Ir 0.0000 0.5000 0.1697
Ir3 Ir 0.5000 0.5000 0.5000
```

Calculated values
- formation enthalpy at 0 K (eV per atom) = -0.705
- crystal system = tetragonal
- E (eV per atom) = -7.2985
- total moment (μB per formula unit) = 0.00


(8)
VASP calculation (GGA-PBE) on Th2UBeIr6 after structural relaxation.

Geometry as CIF:
```
data_Th2UBeIr6
_cell_length_a 9.2504
_cell_length_b 9.2504
_cell_length_c 9.2504
_cell_angle_alpha 90.00
_cell_angle_beta 90.00
_cell_angle_gamma 90.00
_symmetry_space_group_name_H-M 'F m -3 m'
_symmetry_Int_Tables_number 225
_symmetry_space_group_name_Hall '-F 4 2 3'
loop_
_atom_site_label
_atom_site_type_symbol
_atom_site_fract_x
_atom_site_fract_y
_atom_site_fract_z
Th1 Th 0.2500 0.2500 0.2500
U1 U 0.0000 0.0000 0.0000
Be1 Be 0.0000 0.0000 0.5000
Ir1 Ir 0.0000 0.0000 0.2736
```

Calculated values
- formation enthalpy at 0 K (eV per atom) = -0.215
- crystal system = cubic
- E (eV per atom) = -8.5172
- total moment (μB per formula unit) = 0.00


What did the sixth record say?
VASP calculation (GGA-PBE) on Th3Be2Ir5 after structural relaxation.

Geometry as CIF:
```
data_Th3Be2Ir5
_cell_length_a 9.9304
_cell_length_b 9.9304
_cell_length_c 3.6639
_cell_angle_alpha 90.00
_cell_angle_beta 90.00
_cell_angle_gamma 90.00
_symmetry_space_group_name_H-M 'P 4/m b m'
_symmetry_Int_Tables_number 127
_symmetry_space_group_name_Hall '-P 4 2ab'
loop_
_atom_site_label
_atom_site_type_symbol
_atom_site_fract_x
_atom_site_fract_y
_atom_site_fract_z
Th1 Th 0.0000 0.0000 0.0000
Th2 Th 0.1744 0.3256 0.0000
Be1 Be 0.1170 0.6170 0.0000
Ir1 Ir 0.0000 0.5000 0.5000
Ir2 Ir 0.0713 0.7738 0.5000
```

Calculated values
- formation enthalpy at 0 K (eV per atom) = -0.787
- crystal system = tetragonal
- E (eV per atom) = -8.1892
- total moment (μB per formula unit) = 0.00


Look up the total moment of the eighth one. 0.00 μB per formula unit


Please write out number 8 again, unchanged.
VASP calculation (GGA-PBE) on Th2UBeIr6 after structural relaxation.

Geometry as CIF:
```
data_Th2UBeIr6
_cell_length_a 9.2504
_cell_length_b 9.2504
_cell_length_c 9.2504
_cell_angle_alpha 90.00
_cell_angle_beta 90.00
_cell_angle_gamma 90.00
_symmetry_space_group_name_H-M 'F m -3 m'
_symmetry_Int_Tables_number 225
_symmetry_space_group_name_Hall '-F 4 2 3'
loop_
_atom_site_label
_atom_site_type_symbol
_atom_site_fract_x
_atom_site_fract_y
_atom_site_fract_z
Th1 Th 0.2500 0.2500 0.2500
U1 U 0.0000 0.0000 0.0000
Be1 Be 0.0000 0.0000 0.5000
Ir1 Ir 0.0000 0.0000 0.2736
```

Calculated values
- formation enthalpy at 0 K (eV per atom) = -0.215
- crystal system = cubic
- E (eV per atom) = -8.5172
- total moment (μB per formula unit) = 0.00


Which of these has the highest E? ThBe17Ir